# 1
Na2ZnOsS4: relaxed, PBE-GGA.

Lattice parameters (Å, degrees): 6.4806 6.4806 6.4806 121.44 121.44 87.52
Atoms (fractional coordinates):
Na1 0.0000 0.0000 0.0000
Na2 0.7500 0.2500 0.5000
Zn1 0.2500 0.7500 0.5000
Os1 0.5000 0.5000 0.0000
S1 0.1924 0.6161 0.0542
S2 0.3839 0.4381 0.5763
S3 0.5619 0.1382 0.9458
S4 0.8618 0.8076 0.4237



# 2
NaSb5Os3: relaxed, PBE-GGA.

Lattice parameters (Å, degrees): 5.6893 5.6893 8.2486 90.00 90.00 120.00
Atoms (fractional coordinates):
Na1 0.0000 0.0000 0.0000
Sb1 0.0000 0.0000 0.5000
Sb2 0.3333 0.6667 0.2372
Sb3 0.3333 0.6667 0.7628
Sb4 0.6667 0.3333 0.2372
Sb5 0.6667 0.3333 0.7628
Os1 0.0000 0.5000 0.5000
Os2 0.5000 0.0000 0.5000
Os3 0.5000 0.5000 0.5000



# 3
Na2ScOsSe6: relaxed, PBE-GGA.

Lattice parameters (Å, degrees): 7.0547 7.0547 7.0547 123.68 123.68 83.74
Atoms (fractional coordinates):
Na1 0.2500 0.7500 0.5000
Na2 0.7500 0.2500 0.5000
Sc1 0.0000 0.0000 0.0000
Os1 0.5000 0.5000 0.0000
Se1 0.1537 0.6414 0.7951
Se2 0.2601 0.2601 0.0000
Se3 0.3586 0.1537 0.5123
Se4 0.6414 0.8463 0.4877
Se5 0.7399 0.7399 0.0000
Se6 0.8463 0.3586 0.2049



# 4
NaScTeOs: relaxed, PBE-GGA.

Lattice parameters (Å, degrees): 4.7982 4.7982 4.7982 60.00 60.00 60.00
Atoms (fractional coordinates):
Na1 0.0000 0.0000 0.0000
Sc1 0.5000 0.5000 0.5000
Te1 0.2500 0.2500 0.2500
Os1 0.7500 0.7500 0.7500



# 5
NaScTeOs: relaxed, PBE-GGA.

Lattice parameters (Å, degrees): 4.6883 4.6883 4.6883 60.00 60.00 60.00
Atoms (fractional coordinates):
Na1 0.0000 0.0000 0.0000
Sc1 0.7500 0.7500 0.7500
Te1 0.2500 0.2500 0.2500
Os1 0.5000 0.5000 0.5000



# 6
NaSi5Os3: relaxed, PBE-GGA.

Lattice parameters (Å, degrees): 5.4294 5.4294 6.0598 90.00 90.00 120.00
Atoms (fractional coordinates):
Na1 0.0000 0.0000 0.0000
Si1 0.0000 0.0000 0.5000
Si2 0.3333 0.6667 0.1923
Si3 0.3333 0.6667 0.8077
Si4 0.6667 0.3333 0.1923
Si5 0.6667 0.3333 0.8077
Os1 0.0000 0.5000 0.5000
Os2 0.5000 0.0000 0.5000
Os3 0.5000 0.5000 0.5000



# 7
NaSmOs: relaxed, PBE-GGA.

Lattice parameters (Å, degrees): 4.7110 4.7110 4.7110 60.00 60.00 60.00
Atoms (fractional coordinates):
Na1 0.0000 0.0000 0.0000
Sm1 0.2500 0.2500 0.2500
Os1 0.5000 0.5000 0.5000



# 8
NaSmOs: relaxed, PBE-GGA.

Lattice parameters (Å, degrees): 4.7220 4.7220 4.7220 60.00 60.00 60.00
Atoms (fractional coordinates):
Na1 0.0000 0.0000 0.0000
Sm1 0.5000 0.5000 0.5000
Os1 0.2500 0.2500 0.2500



# 9
Na3SnOs6: relaxed, PBE-GGA.

Lattice parameters (Å, degrees): 7.5666 7.5666 7.5666 123.27 123.27 84.42
Atoms (fractional coordinates):
Na1 0.0000 0.0000 0.0000
Na2 0.2500 0.7500 0.5000
Na3 0.7500 0.2500 0.5000
Sn1 0.5000 0.5000 0.0000
Os1 0.1547 0.5000 0.6547
Os2 0.2827 0.2827 0.0000
Os3 0.5000 0.1547 0.6547
Os4 0.5000 0.8453 0.3453
Os5 0.7173 0.7173 0.0000
Os6 0.8453 0.5000 0.3453



# 10
NaSrTcOs: relaxed, PBE-GGA.

Lattice parameters (Å, degrees): 4.7507 4.7507 4.7507 60.00 60.00 60.00
Atoms (fractional coordinates):
Na1 0.0000 0.0000 0.0000
Sr1 0.7500 0.7500 0.7500
Tc1 0.5000 0.5000 0.5000
Os1 0.2500 0.2500 0.2500



# 11
NaSrTcOs: relaxed, PBE-GGA.

Lattice parameters (Å, degrees): 4.9334 4.9334 4.9334 60.00 60.00 60.00
Atoms (fractional coordinates):
Na1 0.0000 0.0000 0.0000
Sr1 0.5000 0.5000 0.5000
Tc1 0.2500 0.2500 0.2500
Os1 0.7500 0.7500 0.7500



# 12
NaSrTcOs: relaxed, PBE-GGA.

Lattice parameters (Å, degrees): 4.7735 4.7735 4.7735 60.00 60.00 60.00
Atoms (fractional coordinates):
Na1 0.0000 0.0000 0.0000
Sr1 0.7500 0.7500 0.7500
Tc1 0.2500 0.2500 0.2500
Os1 0.5000 0.5000 0.5000



For reference, electronic total energy by record: -35.8, -52.9, -46.6, -21.3, -22.2, -60.5, -14.0, -15.0, -49.1, -20.7, -18.3, -20.7 eV/cell.